# Rb2Si2Se5

Rb2Si2Se5 at its PBEsol-relaxed geometry (SCAN, Alexandria via LeMat-Bulk).

Cell: 9.305 11.276 11.276 Å, 90.00 99.73 99.73°
Sites, in units of the cell vectors:
Rb  0.379  0.289  0.023
Se  0.958  0.746  0.181
Se  0.542  0.819  0.254
Rb  0.621  0.711  0.977
Rb  0.617  0.711  0.552
Si  0.898  0.233  0.970
Rb  0.879  0.023  0.289
Rb  0.121  0.977  0.711
Se  0.238  0.612  0.046
Si  0.613  0.365  0.769
Si  0.887  0.231  0.635
Se  0.250  0.953  0.047
Si  0.602  0.030  0.767
Si  0.102  0.767  0.030
Rb  0.883  0.448  0.289
Rb  0.117  0.552  0.711
Se  0.530  0.498  0.254
Si  0.387  0.635  0.231
Si  0.398  0.970  0.233
Se  0.549  0.143  0.256
Se  0.262  0.954  0.388
Se  0.738  0.046  0.612
Se  0.451  0.857  0.744
Se  0.049  0.256  0.143
Se  0.458  0.181  0.746
Se  0.250  0.614  0.386
Se  0.750  0.047  0.953
Se  0.762  0.388  0.954
Si  0.113  0.769  0.365
Se  0.970  0.746  0.502
Se  0.750  0.386  0.614
Se  0.951  0.744  0.857
Se  0.470  0.502  0.746
Se  0.042  0.254  0.819
Rb  0.383  0.289  0.448
Se  0.030  0.254  0.498

## Properties
space-group type	C2/c, No. 15
electronic total energy	-18.951	eV per atom